Version 1
# KTe2F2 | Alexandria | SCAN | PBEsol geometry
# - Fermi-level density of states: 3.444 states/eV/f.u.
# - Calculated volume: 23.4 A^3/atom
# - Theoretical density: 4.7 g/cm3
# - Crystal system: tetragonal
# - Total moment: 0.00 μB per formula unit
data_KTe2F2
_cell_length_a 4.081
_cell_length_b 4.081
_cell_length_c 7.594
_cell_angle_alpha 105.59
_cell_angle_beta 105.59
_cell_angle_gamma 90.00
_space_group_name_H-M_alt 'P 1'
_space_group_IT_number 1
loop_
_space_group_symop_operation_xyz
'x,y,z'
loop_
_atom_site_label
_atom_site_type_symbol
_atom_site_fract_x
_atom_site_fract_y
_atom_site_fract_z
F1 F 0.604 0.604 0.207
F2 F 0.396 0.396 0.793
K1 K 0.000 0.000 0.000
Te1 Te 0.250 0.750 0.500
Te2 Te 0.750 0.250 0.500

Version 2
# KTe2F2 | Alexandria | SCAN | PBEsol geometry
# - Fermi-level density of states: 4.098 states/eV/f.u.
# - Calculated volume: 21.9 A^3/atom
# - Theoretical density: 5.0 g/cm3
# - Crystal system: tetragonal
# - Total moment: 0.00 μB per formula unit
data_KTe2F2
_cell_length_a 3.106
_cell_length_b 8.396
_cell_length_c 8.396
_cell_angle_alpha 90.00
_cell_angle_beta 90.00
_cell_angle_gamma 90.00
_space_group_name_H-M_alt 'P 1'
_space_group_IT_number 1
loop_
_space_group_symop_operation_xyz
'x,y,z'
loop_
_atom_site_label
_atom_site_type_symbol
_atom_site_fract_x
_atom_site_fract_y
_atom_site_fract_z
F1 F 0.000 0.287 0.787
F2 F 0.000 0.213 0.287
F3 F 0.000 0.787 0.713
F4 F 0.000 0.713 0.213
K1 K 0.000 0.500 0.500
K2 K 0.000 0.000 0.000
Te1 Te 0.500 0.615 0.885
Te2 Te 0.500 0.385 0.115
Te3 Te 0.500 0.885 0.385
Te4 Te 0.500 0.115 0.615

Which structure wins on stability? version 1 wins.

Version 1
# KZnF2 | Alexandria | SCAN | PBEsol geometry
# - Fermi-level density of states: 0.249 states/eV/f.u.
# - Calculated volume: 19.4 A^3/atom
# - Theoretical density: 3.1 g/cm3
# - Crystal system: tetragonal
# - Total moment: 0.00 μB per formula unit
data_KZnF2
_cell_length_a 5.746
_cell_length_b 6.210
_cell_length_c 5.746
_cell_angle_alpha 117.56
_cell_angle_beta 90.00
_cell_angle_gamma 117.56
_space_group_name_H-M_alt 'P 1'
_space_group_IT_number 1
loop_
_space_group_symop_operation_xyz
'x,y,z'
loop_
_atom_site_label
_atom_site_type_symbol
_atom_site_fract_x
_atom_site_fract_y
_atom_site_fract_z
F1 F 0.625 0.750 0.055
F2 F 0.125 0.750 0.695
F3 F 0.305 0.250 0.375
F4 F 0.945 0.250 0.875
Zn1 Zn 0.250 0.500 0.750
Zn2 Zn 0.000 0.000 0.000
K1 K 0.750 0.500 0.250
K2 K 0.500 0.000 0.500

Version 2
# KZnF2 | Alexandria | SCAN | PBEsol geometry
# - Fermi-level density of states: 0.776 states/eV/f.u.
# - Calculated volume: 18.3 A^3/atom
# - Theoretical density: 3.2 g/cm3
# - Crystal system: trigonal
# - Total moment: 0.00 μB per formula unit
data_KZnF2
_cell_length_a 3.510
_cell_length_b 3.510
_cell_length_c 7.151
_cell_angle_alpha 75.79
_cell_angle_beta 75.79
_cell_angle_gamma 60.00
_space_group_name_H-M_alt 'P 1'
_space_group_IT_number 1
loop_
_space_group_symop_operation_xyz
'x,y,z'
loop_
_atom_site_label
_atom_site_type_symbol
_atom_site_fract_x
_atom_site_fract_y
_atom_site_fract_z
F1 F 0.879 0.879 0.364
F2 F 0.121 0.121 0.636
K1 K 0.000 0.000 0.000
Zn1 Zn 0.500 0.500 0.500

Which structure wins on stability? version 1 wins.

Version 1
# LaSbN2F | Alexandria | SCAN | PBEsol geometry
# - Fermi-level density of states: 0.772 states/eV/f.u.
# - Calculated volume: 14.8 A^3/atom
# - Theoretical density: 6.9 g/cm3
# - Crystal system: tetragonal
# - Total moment: 0.00 μB per formula unit
data_LaSbN2F
_cell_length_a 4.172
_cell_length_b 4.216
_cell_length_c 4.216
_cell_angle_alpha 90.00
_cell_angle_beta 90.00
_cell_angle_gamma 90.00
_space_group_name_H-M_alt 'P 1'
_space_group_IT_number 1
loop_
_space_group_symop_operation_xyz
'x,y,z'
loop_
_atom_site_label
_atom_site_type_symbol
_atom_site_fract_x
_atom_site_fract_y
_atom_site_fract_z
N1 N 0.000 0.000 0.500
N2 N 0.000 0.500 0.000
La1 La 0.500 0.500 0.500
Sb1 Sb 0.000 0.000 0.000
F1 F 0.500 0.000 0.000

Version 2
# LaSbN2F | Alexandria | SCAN | PBEsol geometry
# - Fermi-level density of states: 2.123 states/eV/f.u.
# - Calculated volume: 18.3 A^3/atom
# - Theoretical density: 5.6 g/cm3
# - Crystal system: tetragonal
# - Total moment: 0.29 μB per formula unit
data_LaSbN2F
_cell_length_a 4.394
_cell_length_b 4.568
_cell_length_c 4.568
_cell_angle_alpha 90.00
_cell_angle_beta 90.00
_cell_angle_gamma 90.00
_space_group_name_H-M_alt 'P 1'
_space_group_IT_number 1
loop_
_space_group_symop_operation_xyz
'x,y,z'
loop_
_atom_site_label
_atom_site_type_symbol
_atom_site_fract_x
_atom_site_fract_y
_atom_site_fract_z
N1 N 0.000 0.000 0.500
N2 N 0.000 0.500 0.000
Sb1 Sb 0.500 0.500 0.500
F1 F 0.500 0.000 0.000
La1 La 0.000 0.000 0.000

Which structure wins on stability? version 1 wins.

Version 1
# LiF3 | Alexandria | SCAN | PBEsol geometry
# - Fermi-level density of states: 1.097 states/eV/f.u.
# - Calculated volume: 10.5 A^3/atom
# - Theoretical density: 2.5 g/cm3
# - Crystal system: hexagonal
# - Total moment: 2.00 μB per formula unit
data_LiF3
_cell_length_a 4.331
_cell_length_b 4.331
_cell_length_c 5.162
_cell_angle_alpha 90.00
_cell_angle_beta 90.00
_cell_angle_gamma 120.00
_space_group_name_H-M_alt 'P 1'
_space_group_IT_number 1
loop_
_space_group_symop_operation_xyz
'x,y,z'
loop_
_atom_site_label
_atom_site_type_symbol
_atom_site_fract_x
_atom_site_fract_y
_atom_site_fract_z
F1 F 0.832 0.168 0.750
F2 F 0.832 0.664 0.750
F3 F 0.168 0.336 0.250
F4 F 0.336 0.168 0.750
F5 F 0.664 0.832 0.250
F6 F 0.168 0.832 0.250
Li1 Li 0.333 0.667 0.750
Li2 Li 0.667 0.333 0.250

Version 2
# LiF3 | Alexandria | SCAN | PBEsol geometry
# - Fermi-level density of states: 0.000 states/eV/f.u.
# - Calculated volume: 11.0 A^3/atom
# - Theoretical density: 2.4 g/cm3
# - Crystal system: trigonal
# - Total moment: 0.00 μB per formula unit
data_LiF3
_cell_length_a 3.121
_cell_length_b 3.121
_cell_length_c 5.506
_cell_angle_alpha 73.53
_cell_angle_beta 73.53
_cell_angle_gamma 60.00
_space_group_name_H-M_alt 'P 1'
_space_group_IT_number 1
loop_
_space_group_symop_operation_xyz
'x,y,z'
loop_
_atom_site_label
_atom_site_type_symbol
_atom_site_fract_x
_atom_site_fract_y
_atom_site_fract_z
F1 F 0.892 0.892 0.325
F2 F 0.108 0.108 0.675
F3 F 0.000 0.000 0.000
Li1 Li 0.500 0.500 0.500

Which structure wins on stability? version 2 wins.

Version 1
# Li2MnF4 | Alexandria | SCAN | PBEsol geometry
# - Fermi-level density of states: 0.000 states/eV/f.u.
# - Calculated volume: 9.6 A^3/atom
# - Theoretical density: 3.6 g/cm3
# - Crystal system: orthorhombic
# - Total moment: 5.00 μB per formula unit
data_Li2MnF4
_cell_length_a 2.912
_cell_length_b 9.159
_cell_length_c 10.099
_cell_angle_alpha 90.00
_cell_angle_beta 90.00
_cell_angle_gamma 90.00
_space_group_name_H-M_alt 'P 1'
_space_group_IT_number 1
loop_
_space_group_symop_operation_xyz
'x,y,z'
loop_
_atom_site_label
_atom_site_type_symbol
_atom_site_fract_x
_atom_site_fract_y
_atom_site_fract_z
F1 F 0.750 0.945 0.278
F2 F 0.250 0.400 0.434
F3 F 0.750 0.876 0.544
F4 F 0.250 0.900 0.066
F5 F 0.750 0.304 0.690
F6 F 0.750 0.100 0.934
F7 F 0.250 0.555 0.778
F8 F 0.750 0.804 0.810
F9 F 0.250 0.196 0.190
F10 F 0.250 0.624 0.044
F11 F 0.250 0.696 0.310
F12 F 0.250 0.124 0.456
F13 F 0.250 0.055 0.722
F14 F 0.750 0.376 0.956
F15 F 0.750 0.600 0.566
F16 F 0.750 0.445 0.222
Li1 Li 0.750 0.058 0.119
Li2 Li 0.250 0.418 0.107
Li3 Li 0.750 0.558 0.381
Li4 Li 0.750 0.582 0.893
Li5 Li 0.250 0.918 0.393
Li6 Li 0.250 0.442 0.619
Li7 Li 0.750 0.082 0.607
Li8 Li 0.250 0.942 0.881
Mn1 Mn 0.750 0.252 0.344
Mn2 Mn 0.250 0.248 0.844
Mn3 Mn 0.250 0.748 0.656
Mn4 Mn 0.750 0.752 0.156

Version 2
# Li2MnF4 | Alexandria | SCAN | PBEsol geometry
# - Fermi-level density of states: 0.000 states/eV/f.u.
# - Calculated volume: 9.9 A^3/atom
# - Theoretical density: 3.5 g/cm3
# - Crystal system: tetragonal
# - Total moment: 5.00 μB per formula unit
data_Li2MnF4
_cell_length_a 5.640
_cell_length_b 5.640
_cell_length_c 5.640
_cell_angle_alpha 71.97
_cell_angle_beta 69.81
_cell_angle_gamma 110.21
_space_group_name_H-M_alt 'P 1'
_space_group_IT_number 1
loop_
_space_group_symop_operation_xyz
'x,y,z'
loop_
_atom_site_label
_atom_site_type_symbol
_atom_site_fract_x
_atom_site_fract_y
_atom_site_fract_z
F1 F 0.198 0.660 0.538
F2 F 0.306 0.346 0.960
F3 F 0.802 0.264 0.538
F4 F 0.302 0.212 0.486
F5 F 0.194 0.790 0.016
F6 F 0.698 0.212 0.090
F7 F 0.694 0.734 0.960
F8 F 0.806 0.790 0.404
Li1 Li 0.256 0.005 0.251
Li2 Li 0.756 0.499 0.745
Li3 Li 0.244 0.499 0.258
Li4 Li 0.744 0.492 0.251
Mn1 Mn 0.500 0.866 0.634
Mn2 Mn 0.000 0.116 0.884

Which structure wins on stability? version 2 wins.

Version 1
# LiMnF5 | Alexandria | SCAN | PBEsol geometry
# - Fermi-level density of states: 0.000 states/eV/f.u.
# - Calculated volume: 13.4 A^3/atom
# - Theoretical density: 2.8 g/cm3
# - Crystal system: triclinic
# - Total moment: 3.00 μB per formula unit
data_LiMnF5
_cell_length_a 5.457
_cell_length_b 5.602
_cell_length_c 6.992
_cell_angle_alpha 104.68
_cell_angle_beta 102.95
_cell_angle_gamma 106.82
_space_group_name_H-M_alt 'P 1'
_space_group_IT_number 1
loop_
_space_group_symop_operation_xyz
'x,y,z'
loop_
_atom_site_label
_atom_site_type_symbol
_atom_site_fract_x
_atom_site_fract_y
_atom_site_fract_z
F1 F 0.113 0.969 0.263
F2 F 0.654 0.826 0.969
F3 F 0.743 0.677 0.374
F4 F 0.235 0.857 0.590
F5 F 0.034 0.693 0.886
F6 F 0.966 0.307 0.114
F7 F 0.887 0.031 0.737
F8 F 0.257 0.323 0.626
F9 F 0.346 0.174 0.031
F10 F 0.765 0.143 0.410
Mn1 Mn 0.000 0.000 0.500
Mn2 Mn 0.000 0.000 0.000
Li1 Li 0.309 0.671 0.771
Li2 Li 0.691 0.329 0.229

Version 2
# LiMnF5 | Alexandria | SCAN | PBEsol geometry
# - Calculated volume: 12.3 A^3/atom
# - Theoretical density: 3.0 g/cm3
# - Crystal system: orthorhombic
# - Total moment: 3.00 μB per formula unit
data_LiMnF5
_cell_length_a 3.729
_cell_length_b 6.681
_cell_length_c 6.934
_cell_angle_alpha 90.00
_cell_angle_beta 90.00
_cell_angle_gamma 90.00
_space_group_name_H-M_alt 'P 1'
_space_group_IT_number 1
loop_
_space_group_symop_operation_xyz
'x,y,z'
loop_
_atom_site_label
_atom_site_type_symbol
_atom_site_fract_x
_atom_site_fract_y
_atom_site_fract_z
Li1 Li 0.033 0.500 0.000
Li2 Li 0.967 0.000 0.500
F1 F 0.254 0.233 0.500
F2 F 0.745 0.000 0.257
F3 F 0.246 0.000 0.000
F4 F 0.255 0.500 0.243
F5 F 0.254 0.767 0.500
F6 F 0.745 0.000 0.743
F7 F 0.746 0.733 0.000
F8 F 0.255 0.500 0.757
F9 F 0.746 0.267 0.000
F10 F 0.754 0.500 0.500
Mn1 Mn 0.252 0.500 0.500
Mn2 Mn 0.748 0.000 0.000

Which structure wins on stability? version 1 wins.

Version 1
# LiMn2O2F3 | Alexandria | SCAN | PBEsol geometry
# - Calculated volume: 10.6 A^3/atom
# - Theoretical density: 4.0 g/cm3
# - Crystal system: monoclinic
# - Total moment: 8.00 μB per formula unit
data_LiMn2O2F3
_cell_length_a 4.874
_cell_length_b 5.996
_cell_length_c 6.740
_cell_angle_alpha 108.21
_cell_angle_beta 90.00
_cell_angle_gamma 113.98
_space_group_name_H-M_alt 'P 1'
_space_group_IT_number 1
loop_
_space_group_symop_operation_xyz
'x,y,z'
loop_
_atom_site_label
_atom_site_type_symbol
_atom_site_fract_x
_atom_site_fract_y
_atom_site_fract_z
Mn1 Mn 0.215 0.377 0.866
Mn2 Mn 0.162 0.377 0.366
Mn3 Mn 0.785 0.623 0.134
Mn4 Mn 0.838 0.623 0.634
O1 O 0.980 0.601 0.367
O2 O 0.379 0.399 0.133
O3 O 0.621 0.601 0.867
O4 O 0.020 0.399 0.633
F1 F 0.416 0.242 0.445
F2 F 0.826 0.242 0.945
F3 F 0.584 0.758 0.555
F4 F 0.785 0.000 0.250
F5 F 0.215 0.000 0.750
F6 F 0.174 0.758 0.055
Li1 Li 0.500 0.000 0.500
Li2 Li 0.500 0.000 0.000

Version 2
# LiMn2O2F3 | Alexandria | SCAN | PBEsol geometry
# - Fermi-level density of states: 0.035 states/eV/f.u.
# - Calculated volume: 11.6 A^3/atom
# - Theoretical density: 3.7 g/cm3
# - Crystal system: orthorhombic
# - Total moment: 8.00 μB per formula unit
data_LiMn2O2F3
_cell_length_a 3.706
_cell_length_b 5.169
_cell_length_c 10.362
_cell_angle_alpha 90.00
_cell_angle_beta 90.00
_cell_angle_gamma 111.01
_space_group_name_H-M_alt 'P 1'
_space_group_IT_number 1
loop_
_space_group_symop_operation_xyz
'x,y,z'
loop_
_atom_site_label
_atom_site_type_symbol
_atom_site_fract_x
_atom_site_fract_y
_atom_site_fract_z
Li1 Li 0.326 0.653 0.750
Li2 Li 0.674 0.347 0.250
O1 O 0.810 0.621 0.443
O2 O 0.190 0.379 0.557
O3 O 0.190 0.379 0.943
O4 O 0.810 0.621 0.057
F1 F 0.470 0.940 0.879
F2 F 0.746 0.493 0.750
F3 F 0.254 0.507 0.250
F4 F 0.530 0.060 0.379
F5 F 0.530 0.060 0.121
F6 F 0.470 0.940 0.621
Mn1 Mn 0.345 0.691 0.442
Mn2 Mn 0.655 0.309 0.558
Mn3 Mn 0.655 0.309 0.942
Mn4 Mn 0.345 0.691 0.058

Which structure wins on stability? version 1 wins.

Version 1
# LiMn3O2F6 | Alexandria | SCAN | PBEsol geometry
# - Calculated volume: 10.7 A^3/atom
# - Theoretical density: 4.1 g/cm3
# - Crystal system: triclinic
# - Total moment: 12.00 μB per formula unit
data_LiMn3O2F6
_cell_length_a 5.137
_cell_length_b 6.828
_cell_length_c 7.438
_cell_angle_alpha 100.71
_cell_angle_beta 90.71
_cell_angle_gamma 90.19
_space_group_name_H-M_alt 'P 1'
_space_group_IT_number 1
loop_
_space_group_symop_operation_xyz
'x,y,z'
loop_
_atom_site_label
_atom_site_type_symbol
_atom_site_fract_x
_atom_site_fract_y
_atom_site_fract_z
Mn1 Mn 0.733 0.688 0.316
Mn2 Mn 0.760 0.173 0.328
Mn3 Mn 0.715 0.665 0.819
Mn4 Mn 0.240 0.827 0.672
Mn5 Mn 0.285 0.335 0.181
Mn6 Mn 0.267 0.312 0.684
O1 O 0.405 0.577 0.698
O2 O 0.113 0.075 0.694
O3 O 0.887 0.925 0.306
O4 O 0.595 0.423 0.302
F1 F 0.109 0.314 0.444
F2 F 0.891 0.686 0.556
F3 F 0.095 0.573 0.196
F4 F 0.401 0.813 0.440
F5 F 0.585 0.925 0.820
F6 F 0.043 0.798 0.901
F7 F 0.415 0.075 0.180
F8 F 0.432 0.310 0.917
F9 F 0.905 0.427 0.804
F10 F 0.568 0.690 0.083
F11 F 0.957 0.202 0.099
F12 F 0.599 0.187 0.560
Li1 Li 0.213 0.836 0.165
Li2 Li 0.787 0.164 0.835

Version 2
# LiMn3O2F6 | Alexandria | SCAN | PBEsol geometry
# - Fermi-level density of states: 0.981 states/eV/f.u.
# - Calculated volume: 10.6 A^3/atom
# - Theoretical density: 4.2 g/cm3
# - Crystal system: monoclinic
# - Total moment: 12.00 μB per formula unit
data_LiMn3O2F6
_cell_length_a 4.622
_cell_length_b 5.436
_cell_length_c 10.169
_cell_angle_alpha 96.46
_cell_angle_beta 90.00
_cell_angle_gamma 90.00
_space_group_name_H-M_alt 'P 1'
_space_group_IT_number 1
loop_
_space_group_symop_operation_xyz
'x,y,z'
loop_
_atom_site_label
_atom_site_type_symbol
_atom_site_fract_x
_atom_site_fract_y
_atom_site_fract_z
F1 F 0.679 0.714 0.577
F2 F 0.821 0.714 0.077
F3 F 0.204 0.783 0.427
F4 F 0.179 0.286 0.923
F5 F 0.296 0.783 0.927
F6 F 0.725 0.984 0.316
F7 F 0.275 0.016 0.684
F8 F 0.225 0.016 0.184
F9 F 0.775 0.984 0.816
F10 F 0.704 0.217 0.073
F11 F 0.796 0.217 0.573
F12 F 0.321 0.286 0.423
Mn1 Mn 0.470 0.732 0.747
Mn2 Mn 0.530 0.268 0.253
Mn3 Mn 0.030 0.732 0.247
Mn4 Mn 0.500 0.500 0.000
Mn5 Mn 0.970 0.268 0.753
Mn6 Mn 0.000 0.500 0.500
O1 O 0.330 0.516 0.174
O2 O 0.170 0.516 0.674
O3 O 0.830 0.484 0.326
O4 O 0.670 0.484 0.826
Li1 Li 0.500 0.000 0.500
Li2 Li 0.000 0.000 0.000

Which structure wins on stability? version 2 wins.